# Ba2Li16Pr | Alexandria | PBE | optimized geometry
data_Ba2Li16Pr
_space_group_name_H-M_alt 'P 1'
_space_group_IT_number 1
_space_group_name_Hall 'P 1'
_cell_length_a 7.9596
_cell_length_b 7.9596
_cell_length_c 7.9596
_cell_angle_alpha 83.15
_cell_angle_beta 83.15
_cell_angle_gamma 83.15
loop_
_atom_site_label
_atom_site_type_symbol
_atom_site_fract_x
_atom_site_fract_y
_atom_site_fract_z
_atom_site_occupancy
Ba1 Ba 0.0000 0.0000 0.0000 1
Ba2 Ba 0.3041 0.3041 0.3041 1
Li1 Li 0.1419 0.6604 0.6604 1
Li2 Li 0.3100 0.3100 0.8105 1
Li3 Li 0.3100 0.8105 0.3100 1
Li4 Li 0.3686 0.6580 0.9502 1
Li5 Li 0.3686 0.9502 0.6580 1
Li6 Li 0.5148 0.9951 0.9951 1
Li7 Li 0.6580 0.3686 0.9502 1
Li8 Li 0.6580 0.9502 0.3686 1
Li9 Li 0.6604 0.1419 0.6604 1
Li10 Li 0.6604 0.6604 0.1419 1
Li11 Li 0.7565 0.7565 0.7565 1
Li12 Li 0.8105 0.3100 0.3100 1
Li13 Li 0.9502 0.3686 0.6580 1
Li14 Li 0.9502 0.6580 0.3686 1
Li15 Li 0.9951 0.5148 0.9951 1
Li16 Li 0.9951 0.9951 0.5148 1
Pr1 Pr 0.5541 0.5541 0.5541 1
# - N(E_F) (states/eV/f.u.) = 13.0
# - ΔE_f (eV per atom) = 0.05
# - symmetry = No. 160

***

# Co2Bi2Sb | Alexandria | PBE | optimized geometry
data_Co2Bi2Sb
_space_group_name_H-M_alt 'P 1'
_space_group_IT_number 1
_space_group_name_Hall 'P 1'
_cell_length_a 8.5184
_cell_length_b 8.5184
_cell_length_c 3.2198
_cell_angle_alpha 90.00
_cell_angle_beta 90.00
_cell_angle_gamma 90.00
loop_
_atom_site_label
_atom_site_type_symbol
_atom_site_fract_x
_atom_site_fract_y
_atom_site_fract_z
_atom_site_occupancy
Co1 Co 0.0921 0.4079 0.0000 1
Co2 Co 0.4079 0.9079 0.0000 1
Co3 Co 0.5921 0.0921 0.0000 1
Co4 Co 0.9079 0.5921 0.0000 1
Bi1 Bi 0.1743 0.6743 0.5000 1
Bi2 Bi 0.3257 0.1743 0.5000 1
Bi3 Bi 0.6743 0.8257 0.5000 1
Bi4 Bi 0.8257 0.3257 0.5000 1
Sb1 Sb 0.0000 0.0000 0.5000 1
Sb2 Sb 0.5000 0.5000 0.5000 1
# - uncorrected energy (eV per atom) = -4.623
# - N(E_F) (states/eV/f.u.) = 7.0
# - symmetry = No. 127

***

# Tb2NdYS4 | Alexandria | PBE | optimized geometry
data_Tb2NdYS4
_space_group_name_H-M_alt 'P 1'
_space_group_IT_number 1
_space_group_name_Hall 'P 1'
_cell_length_a 6.8749
_cell_length_b 3.9241
_cell_length_c 6.8967
_cell_angle_alpha 90.00
_cell_angle_beta 108.99
_cell_angle_gamma 90.00
loop_
_atom_site_label
_atom_site_type_symbol
_atom_site_fract_x
_atom_site_fract_y
_atom_site_fract_z
_atom_site_occupancy
Tb1 Tb 0.0000 0.0000 0.0000 1
Tb2 Tb 0.0000 0.5000 0.5000 1
Nd1 Nd 0.5000 0.0000 0.5000 1
Y1 Y 0.5000 0.5000 0.0000 1
S1 S 0.2414 0.5000 0.2408 1
S2 S 0.2464 0.0000 0.7550 1
S3 S 0.7536 0.0000 0.2450 1
S4 S 0.7586 0.5000 0.7592 1
# - uncorrected energy (eV per atom) = -6.630
# - N(E_F) (states/eV/f.u.) = 4.8
# - symmetry = No. 10

***

# Er3ScPd2 | Alexandria | PBE | optimized geometry
data_Er3ScPd2
_space_group_name_H-M_alt 'P 1'
_space_group_IT_number 1
_space_group_name_Hall 'P 1'
_cell_length_a 8.0465
_cell_length_b 8.0465
_cell_length_c 8.0465
_cell_angle_alpha 151.20
_cell_angle_beta 145.07
_cell_angle_gamma 45.88
loop_
_atom_site_label
_atom_site_type_symbol
_atom_site_fract_x
_atom_site_fract_y
_atom_site_fract_z
_atom_site_occupancy
Er1 Er 0.0000 0.0000 0.0000 1
Er2 Er 0.1828 0.6828 0.5000 1
Er3 Er 0.8172 0.3172 0.5000 1
Sc1 Sc 0.5000 0.5000 0.0000 1
Pd1 Pd 0.3707 0.8707 0.5000 1
Pd2 Pd 0.6293 0.1293 0.5000 1
# - N(E_F) (states/eV/f.u.) = 7.3
# - ΔE_f (eV per atom) = -0.56
# - symmetry = No. 71

***

> Look up the N(E_F) of the fourth one.

7.3 states/eV/f.u.